Here is YIr2Se after structural relaxation from the Alexandria database. Energies are from PBE-GGA.

Output
- density of states at the Fermi level (states/eV/cell) = 5.07
- ΔE_f (raw) (kJ/mol of atoms) = -43

a b c (Å): 8.8822 3.8594 5.0513
angles (deg): 90.00 113.44 90.00
Space group Cm (No. 8)
Inequivalent atoms, fractional coordinates:
Y 0.0000 0.0000 0.0000 x2
Ir 0.2674 0.5000 0.3792 x2
Ir 0.4633 0.0000 0.4080 x2
Se 0.1935 0.0000 0.6361 x2

=====

Here is YIrSe3 after structural relaxation from the Alexandria database. Energies are from PBE-GGA.

Output
- density of states at the Fermi level (states/eV/cell) = 5.92
- ΔE_f (raw) (kJ/mol of atoms) = -29

a b c (Å): 4.9160 4.9160 4.9160
angles (deg): 90.00 90.00 90.00
Space group Pm-3m (No. 221)
Inequivalent atoms, fractional coordinates:
Y 0.0000 0.0000 0.0000 x1
Ir 0.5000 0.5000 0.5000 x1
Se 0.0000 0.5000 0.5000 x3

=====

Here is YIrSe3 after structural relaxation from the Alexandria database. Energies are from PBE-GGA.

Output
- density of states at the Fermi level (states/eV/cell) = 7.39
- ΔE_f (raw) (kJ/mol of atoms) = 68

a b c (Å): 5.3796 5.3796 5.3796
angles (deg): 90.00 90.00 90.00
Space group Pm-3m (No. 221)
Inequivalent atoms, fractional coordinates:
Y 0.0000 0.0000 0.0000 x1
Ir 0.5000 0.5000 0.5000 x1
Se 0.0000 0.0000 0.5000 x3

=====

Here is YIr2Se after structural relaxation from the Alexandria database. Energies are from PBE-GGA.

Output
- density of states at the Fermi level (states/eV/cell) = 7.61
- ΔE_f (raw) (kJ/mol of atoms) = -17

a b c (Å): 4.7382 4.7382 16.2503
angles (deg): 90.00 90.00 90.00
Space group I-42d (No. 122)
Inequivalent atoms, fractional coordinates:
Y 0.0000 0.0000 0.0000 x4
Ir 0.1042 0.2500 0.6250 x8
Se 0.0000 0.0000 0.5000 x4

=====

Here is YIr2Se after structural relaxation from the Alexandria database. Energies are from PBE-GGA.

Output
- density of states at the Fermi level (states/eV/cell) = 4.62
- ΔE_f (raw) (kJ/mol of atoms) = -9

a b c (Å): 3.5071 3.5071 5.9562
angles (deg): 90.00 90.00 90.00
Space group P4/mmm (No. 123)
Inequivalent atoms, fractional coordinates:
Y 0.0000 0.0000 0.0000 x1
Ir 0.5000 0.5000 0.2679 x2
Se 0.0000 0.0000 0.5000 x1

=====

Here is YIr2Se after structural relaxation from the Alexandria database. Energies are from PBE-GGA.

Output
- density of states at the Fermi level (states/eV/cell) = 3.33
- ΔE_f (raw) (kJ/mol of atoms) = -26

a b c (Å): 4.0984 4.0984 4.2563
angles (deg): 90.00 90.00 90.00
Space group P4/mmm (No. 123)
Inequivalent atoms, fractional coordinates:
Y 0.0000 0.0000 0.0000 x1
Ir 0.0000 0.5000 0.5000 x2
Se 0.5000 0.5000 0.0000 x1